1.
A plane-wave DFT calculation with PBE was carried out for a relaxed CeEr2MnN4 crystal.

The calculation puts the uncorrected energy at -135.12 eV for the cell shown. The value obtained for the total moment is 0.2 μB per formula unit. Its formation energy from raw total energies is -1.2534 eV per atom. The calculated volume comes out at 216.6 Å³ per cell.

a = 3.371 Å, b = 5.889 Å, c = 11.389 Å
α = 90.00°, β = 90.00°, γ = 106.63°
Last column: magnetic moment on the atom in μB.
Atoms (fractional coordinates):
Ce: 0.897 0.794 0.250  -0.16
Ce: 0.103 0.206 0.750  -0.16
N: 0.426 0.853 0.750  0.00
N: 0.267 0.535 0.370  0.00
N: 0.267 0.535 0.130  0.00
N: 0.000 0.000 0.500  0.00
N: 0.574 0.147 0.250  0.00
N: 0.733 0.465 0.630  0.00
N: 0.000 0.000 0.000  0.00
N: 0.733 0.465 0.870  0.00
Mn: 0.842 0.685 0.750  -0.02
Mn: 0.158 0.315 0.250  -0.02
Er: 0.368 0.736 0.954  0.00
Er: 0.632 0.264 0.454  0.00
Er: 0.368 0.736 0.546  0.00
Er: 0.632 0.264 0.046  0.00

2.
A plane-wave DFT calculation with PBE was carried out for a relaxed Ce2ErMnS5 crystal.

The calculation puts the uncorrected energy at -123.09 eV for the cell shown. The value obtained for the total moment is 5.7 μB per formula unit. Its formation energy from raw total energies is -1.7008 eV per atom. The calculated volume comes out at 383.9 Å³ per cell.

a = 3.879 Å, b = 8.472 Å, c = 12.001 Å
α = 90.00°, β = 90.00°, γ = 103.24°
Last column: magnetic moment on the atom in μB.
Atoms (fractional coordinates):
S: 0.958 0.916 0.568  0.03
S: 0.641 0.283 0.499  0.01
S: 0.497 0.994 0.781  0.00
S: 0.709 0.417 0.161  0.00
S: 0.690 0.380 0.847  0.01
S: 0.042 0.084 0.068  0.03
S: 0.503 0.006 0.281  0.00
S: 0.310 0.620 0.347  0.01
S: 0.291 0.583 0.661  0.00
S: 0.359 0.717 0.999  0.01
Mn: 0.498 0.996 0.473  3.70
Mn: 0.502 0.004 0.973  3.70
Ce: 0.113 0.227 0.685  0.77
Ce: 0.130 0.260 0.305  0.63
Ce: 0.870 0.740 0.805  0.63
Ce: 0.887 0.773 0.185  0.77
Er: 0.804 0.607 0.504  0.01
Er: 0.196 0.393 0.004  0.01

3.
A plane-wave DFT calculation with PBE was carried out for a relaxed CeErMnZn crystal.

The calculation puts the uncorrected energy at -21.03 eV for the cell shown. The value obtained for the total moment is 1.8 μB per formula unit. The formation energy is -0.021 eV per atom. The calculated volume comes out at 87.7 Å³ per cell.

a = 4.987 Å, b = 4.987 Å, c = 4.987 Å
α = 60.00°, β = 60.00°, γ = 60.00°
Last column: magnetic moment on the atom in μB.
Atoms (fractional coordinates):
Zn: 0.250 0.250 0.250  -0.02
Er: 0.000 0.000 0.000  -0.34
Mn: 0.750 0.750 0.750  3.04
Ce: 0.500 0.500 0.500  -0.73

4.
A plane-wave DFT calculation with PBE was carried out for a relaxed CeErMo4 crystal.

The calculation puts the uncorrected energy at -53.06 eV for the cell shown. The value obtained for the total moment is 0.0 μB per formula unit. The formation energy is 0.127 eV per atom. The calculated volume comes out at 118.8 Å³ per cell.

a = 5.518 Å, b = 5.518 Å, c = 5.518 Å
α = 60.00°, β = 60.00°, γ = 60.00°
Atoms (fractional coordinates):
Mo: 0.625 0.126 0.625
Mo: 0.625 0.625 0.126
Mo: 0.126 0.625 0.625
Mo: 0.625 0.625 0.625
Er: 0.000 0.000 0.000
Ce: 0.250 0.250 0.250